# 1
Density functional theory data (PBE) for a geometry-optimized RbYTa2 structure.

E_form = 6.4 eV per formula unit
E_tot = -49.40 eV/cell
Fermi-level density of states = 1.060 states/eV per atom
Polymorph energy (0 for the lowest one) = 0.000 eV/atom

Unit cell a=4.222 b=4.222 c=11.718 alpha=79.62 beta=79.62 gamma=90.00
Sites, in units of the cell vectors:
Y: 0.000 0.000 0.000
Y: 0.750 0.250 0.500
Rb: 0.500 0.500 0.000
Rb: 0.250 0.750 0.500
Ta: 0.103 0.125 0.250
Ta: 0.647 0.625 0.250
Ta: 0.375 0.897 0.750
Ta: 0.875 0.353 0.750

---

# 2
Density functional theory data (PBE) for a geometry-optimized Rb3YTa structure.

E_form = 10.6 eV per formula unit
E_tot = -10.64 eV/cell
Fermi-level density of states = 2.610 states/eV per atom
Polymorph energy (0 for the lowest one) = 0.306 eV/atom

Unit cell a=7.029 b=7.029 c=7.029 alpha=90.00 beta=90.00 gamma=90.00
Site moments in Bohr magnetons follow the coordinates.
Sites, in units of the cell vectors:
Y: 0.000 0.000 0.000  0.94
Rb: 0.000 0.500 0.000  0.05
Rb: 0.000 0.000 0.500  0.04
Rb: 0.500 0.000 0.000  0.05
Ta: 0.500 0.500 0.500  2.33

---

# 3
Density functional theory data (PBE) for a geometry-optimized Rb2YTa structure.

E_form = 7.5 eV per formula unit
E_tot = -12.74 eV/cell
Fermi-level density of states = 2.574 states/eV per atom
Polymorph energy (0 for the lowest one) = 0.446 eV/atom

Unit cell a=5.896 b=5.896 c=5.896 alpha=60.00 beta=60.00 gamma=60.00
Sites, in units of the cell vectors:
Y: 0.000 0.000 0.000
Rb: 0.250 0.250 0.250
Rb: 0.750 0.750 0.750
Ta: 0.500 0.500 0.500

---

# 4
Density functional theory data (PBE) for a geometry-optimized Rb2YTa structure.

E_form = 5.7 eV per formula unit
E_tot = -29.04 eV/cell
Fermi-level density of states = 1.040 states/eV per atom
Polymorph energy (0 for the lowest one) = 0.000 eV/atom

Unit cell a=4.568 b=4.568 c=14.373 alpha=80.86 beta=80.86 gamma=90.00
Site moments in Bohr magnetons follow the coordinates.
Sites, in units of the cell vectors:
Y: 0.500 0.500 0.000  0.16
Y: 0.250 0.750 0.500  0.16
Rb: 0.629 0.125 0.250  0.00
Rb: 0.121 0.625 0.250  0.00
Rb: 0.375 0.371 0.750  0.00
Rb: 0.875 0.879 0.750  0.00
Ta: 0.000 0.000 0.000  1.23
Ta: 0.750 0.250 0.500  1.23

---

# 5
Density functional theory data (PBE) for a geometry-optimized RbYTa2 structure.

E_form = 7.5 eV per formula unit
E_tot = -23.63 eV/cell
Fermi-level density of states = 1.640 states/eV per atom
Polymorph energy (0 for the lowest one) = 0.267 eV/atom

Unit cell a=5.293 b=5.293 c=5.293 alpha=60.00 beta=60.00 gamma=60.00
Site moments in Bohr magnetons follow the coordinates.
Sites, in units of the cell vectors:
Y: 0.500 0.500 0.500  0.41
Rb: 0.000 0.000 0.000  0.05
Ta: 0.250 0.250 0.250  0.90
Ta: 0.750 0.750 0.750  0.90

---

# 6
Density functional theory data (PBE) for a geometry-optimized Rb3YTa structure.

E_form = 9.0 eV per formula unit
E_tot = -12.18 eV/cell
Fermi-level density of states = 1.266 states/eV per atom
Polymorph energy (0 for the lowest one) = 0.000 eV/atom

Unit cell a=6.895 b=6.895 c=6.895 alpha=90.00 beta=90.00 gamma=90.00
Site moments in Bohr magnetons follow the coordinates.
Sites, in units of the cell vectors:
Y: 0.500 0.500 0.500  0.69
Rb: 0.000 0.500 0.000  0.06
Rb: 0.000 0.000 0.500  0.06
Rb: 0.500 0.000 0.000  0.06
Ta: 0.000 0.000 0.000  2.49